Record 1
The following is a meta-GGA SCAN calculation of FePS at its PBEsol-relaxed geometry, from Alexandria via LeMat-Bulk.

Its raw formation energy is -525 meV per atom. The value obtained for the magnetic moment is 0.0 Bohr magnetons per cell.

The structure belongs to space group P2_1/c (No. 14); the cell edges are 5.4493, 5.4316 and 5.5005 Å and the angles 90.00°, 111.56° and 90.00°. The distinct sites, in fractional coordinates, are Fe at (0.2228, 0.0009, 0.2058), P at (0.3534, 0.6291, 0.1246) and S at (0.1592, 0.1281, 0.8155).

***

Record 2
The following is a meta-GGA SCAN calculation of FeP2S2 at its PBEsol-relaxed geometry, from Alexandria via LeMat-Bulk.

Its raw formation energy is 1158 meV per atom. The value obtained for the magnetic moment is 3.5 Bohr magnetons per cell.

The structure belongs to space group P4/mmm (No. 123); the cell edges are 4.3635, 4.3635 and 4.4869 Å and the angles 90.00°, 90.00° and 90.00°. The distinct sites, in fractional coordinates, are Fe at (0.0000, 0.0000, 0.0000), P at (0.0000, 0.5000, 0.5000), S at (0.5000, 0.5000, 0.0000) and S at (0.5000, 0.5000, 0.5000).

***

Record 3
The following is a meta-GGA SCAN calculation of FeSiPS2 at its PBEsol-relaxed geometry, from Alexandria via LeMat-Bulk.

Its raw formation energy is 651 meV per atom. The value obtained for the magnetic moment is 3.8 Bohr magnetons per cell.

The structure belongs to space group P4/mmm (No. 123); the cell edges are 4.4159, 4.4159 and 4.4678 Å and the angles 90.00°, 90.00° and 90.00°. The distinct sites, in fractional coordinates, are Fe at (0.0000, 0.0000, 0.0000), Si at (0.5000, 0.5000, 0.5000), P at (0.5000, 0.5000, 0.0000) and S at (0.0000, 0.5000, 0.5000).